The following is a PBE calculation of a geometry-optimized Al3V6C structure, from Alexandria.

Lattice parameters (Å, degrees): 9.333 4.960 7.642 90.00 127.62 90.00
Space group C2/m (No. 12)
Unique sites:
Al  0.000  0.000  0.000 x2
Al  0.155  0.500  0.191 x4
V  0.081  0.262  0.762 x8
V  0.249  0.500  0.584 x4
C  0.000  0.500  0.500 x2

E, eV/atom: -7.540
Calculated formation energy, eV per atom: -0.02

***

The following is a PBE calculation of a geometry-optimized Pm3Nd6Tm2In structure, from Alexandria.

Lattice parameters (Å, degrees): 6.249 10.878 11.840 90.00 100.45 90.00
Space group C2/m (No. 12)
Unique sites:
Pm  0.000  0.000  0.000 x2
Pm  0.000  0.331  0.000 x4
Nd  0.243  0.337  0.742 x8
Nd  0.247  0.500  0.255 x4
Tm  0.000  0.166  0.500 x4
In  0.000  0.500  0.500 x2

E, eV/atom: -4.572
Calculated formation energy, eV per atom: -0.03

***

The following is a PBE calculation of a geometry-optimized K3TmI6 structure, from Alexandria.

Lattice parameters (Å, degrees): 8.390 9.009 14.650 90.00 124.05 90.00
Space group P2_1/c (No. 14)
Unique sites:
K  0.000  0.000  0.000 x2
K  0.208  0.089  0.745 x4
Tm  0.500  0.000  0.500 x2
I  0.149  0.175  0.439 x4
I  0.265  0.717  0.426 x4
I  0.407  0.049  0.272 x4

E, eV/atom: -3.150
Formation energy (no corrections), eV per atom: -1.44

***

The following is a PBE calculation of a geometry-optimized UHPb structure, from Alexandria.

Lattice parameters (Å, degrees): 3.6175 3.6175 5.3156 90.00 90.00 120.00
Space group P3m1 (No. 156)
Unique sites:
U  0.0000  0.0000  0.0000 x1
H  0.6667  0.3333  0.0674 x1
Pb  0.3333  0.6667  0.5022 x1

Energy relative to the lowest polymorph listed for this composition, meV per atom: 0.0
E, eV/atom: -6.058

***

> Which of these has the lowest E?

Al3V6C

***

> Number 3 is which compound?

K3TmI6